Entry 1:
Tm7ScTl4, optimized geometry, DFT PBE; DFT formation energy = 12.9 meV/atom; crystal system = monoclinic; space-group type = No. 12
1.0
-2.9995 4.1484 2.3413
-8.1078 0.1255 -3.8424
-5.5314 -2.9378 4.8860
Tm Tl Sc
7 4 1
Cartesian
-10.1476 1.7609 4.1811 Tm
-5.7406 2.5462 1.6684 Tm
-10.8981 -1.2102 1.7165 Tm
-1.4998 2.0742 1.1707 Tm
-12.4364 1.8664 1.0619 Tm
-4.2024 -0.5304 2.3231 Tm
-6.4912 -0.4249 -0.7961 Tm
-3.8579 1.2882 -0.4578 Tl
-7.3609 0.5467 3.1354 Tl
-12.7809 0.0478 3.8427 Tl
-9.2779 0.7893 0.2496 Tl
0.0000 0.0000 0.0000 Sc

Entry 2:
TmSc2Tl4, optimized geometry, DFT PBE; DFT formation energy = -179.2 meV/atom; crystal system = tetragonal; space-group type = No. 139
1.0
-1.0612 0.0134 -6.1689
4.4027 4.2609 1.2816
1.8440 -5.7351 1.7001
Tm Tl Sc
1 4 2
Cartesian
0.0000 0.0000 0.0000 Tm
-0.5306 0.0067 -3.0845 Tl
2.5928 -0.7304 -1.5936 Tl
0.9220 -2.8675 0.8500 Tl
2.2014 2.1304 0.6408 Tl
1.6708 2.1372 -2.4436 Sc
0.3914 -2.8608 -2.2344 Sc

Entry 3:
YTm2ScTl4, optimized geometry, DFT PBE; DFT formation energy = -296.6 meV/atom; crystal system = trigonal; space-group type = No. 166
1.0
5.2723 0.0000 0.0000
2.6362 4.5660 0.0000
2.6362 1.5220 8.6521
Tm Tl Y Sc
2 4 1 1
Cartesian
7.9085 4.5660 6.4572 Tm
2.6362 1.5220 2.1949 Tm
5.2723 3.0440 1.1330 Tl
2.6362 1.5220 5.3639 Tl
5.2723 3.0440 7.5191 Tl
7.9085 4.5660 3.2882 Tl
0.0000 0.0000 0.0000 Y
5.2723 3.0440 4.3260 Sc

Entry 4:
YTmSc2Tl4, optimized geometry, DFT PBE; DFT formation energy = -285.9 meV/atom; crystal system = trigonal; space-group type = No. 166
1.0
-4.4544 2.7095 -0.3437
-4.0237 -1.1816 3.1169
0.0795 6.0272 6.7672
Tl Tm Sc Y
4 1 2 1
Cartesian
-7.3815 3.6105 4.9784 Tl
-3.1172 5.8326 6.9462 Tl
-1.0171 3.9446 4.5620 Tl
-5.2814 1.7225 2.5942 Tl
-4.1993 3.7775 4.7702 Tm
-6.3010 5.6626 7.1513 Sc
-2.0977 1.8925 2.3891 Sc
0.0000 0.0000 0.0000 Y

Entry 5:
Y2TmScTl2, optimized geometry, DFT PBE; DFT formation energy = -272.8 meV/atom; crystal system = orthorhombic; space-group type = No. 26
1.0
-4.9242 -0.2819 0.1190
0.1720 -4.9871 -4.6950
0.5530 -6.6644 7.0992
Y Tm Sc Tl
4 2 2 4
Cartesian
0.1660 -3.0034 -0.2444 Y
-2.4256 -0.7495 0.1298 Y
0.5914 -9.5868 1.7648 Y
-1.8398 -9.2664 4.1985 Y
0.3808 -5.9127 1.7543 Tm
0.4144 -7.7742 -1.2665 Tm
-2.1778 -5.5112 -0.8976 Sc
-2.0498 -5.5970 4.1975 Sc
-1.9962 -7.8671 1.0383 Tl
0.2132 -4.8945 -2.7699 Tl
0.5282 -7.2335 4.7255 Tl
-2.2117 -3.8129 1.7234 Tl

Entry 6:
Y2TmScTl4, optimized geometry, DFT PBE; DFT formation energy = -315.9 meV/atom; crystal system = trigonal; space-group type = No. 166
1.0
5.2897 0.0000 0.0000
2.6449 4.5810 0.0000
2.6449 1.5270 8.6656
Tm Sc Tl Y
1 1 4 2
Cartesian
0.0000 0.0000 0.0000 Tm
5.2897 3.0540 4.3328 Sc
2.6449 1.5270 5.3890 Tl
5.2897 3.0540 1.1109 Tl
5.2897 3.0540 7.5547 Tl
7.9346 4.5810 3.2767 Tl
7.9346 4.5810 6.4744 Y
2.6448 1.5270 2.1912 Y

Entry 7:
Sc2TlV, optimized geometry, DFT PBE; DFT formation energy = 428.2 meV/atom; offset from the most stable computed form = 461.4 meV per atom; crystal system = tetragonal; space-group type = No. 122
1.0
-1.9086 6.1658 4.2826
-7.3642 -0.6794 -2.3039
-5.1939 0.9696 3.2945
Sc Tl V
4 2 2
Cartesian
-3.3741 3.8890 3.1274 Sc
-7.5186 2.7711 3.1673 Sc
-6.1775 0.7106 0.0039 Sc
-11.8633 5.5413 4.2479 Sc
0.0000 0.0000 0.0000 Tl
-5.8695 4.9393 4.2832 Tl
-8.5973 1.5167 0.9900 V
-4.6364 2.7432 0.9893 V

Entry 8:
Sc2TlV, optimized geometry, DFT PBE; DFT formation energy = 22.9 meV/atom; offset from the most stable computed form = 56.1 meV per atom; crystal system = cubic; space-group type = No. 225
1.0
-1.0395 -0.0695 -4.8242
-0.8835 -4.2911 -2.2723
-4.5654 -1.0906 -1.5251
Sc Tl V
2 1 1
Cartesian
-4.8663 -4.0885 -6.4662 Sc
-1.6221 -1.3628 -2.1554 Sc
-3.2442 -2.7256 -4.3108 Tl
0.0000 0.0000 0.0000 V

Entry 9:
Sc2TlV2, optimized geometry, DFT PBE; DFT formation energy = 150.5 meV/atom; crystal system = tetragonal; space-group type = No. 127
1.0
-3.9989 4.8811 -3.3018
-4.9382 -4.9530 -1.3413
-1.7480 0.8351 3.3516
Sc V Tl
4 4 2
Cartesian
-3.0324 1.1938 0.3567 Sc
-5.8295 2.8343 -1.5109 Sc
-4.8556 -2.0711 0.2193 Sc
-7.6527 -0.4306 -1.6482 Sc
-5.8909 -2.5041 -2.4484 V
-6.5780 1.2527 -3.7428 V
-3.0462 2.4321 -2.1947 V
-2.3591 -1.3247 -0.9003 V
0.0000 0.0000 0.0000 Tl
-4.4686 -0.0360 -2.3216 Tl

Entry 10:
ScTlV3, optimized geometry, DFT PBE; DFT formation energy = 1577.2 meV/atom; offset from the most stable computed form = 40.7 meV per atom; crystal system = cubic; space-group type = No. 221
1.0
-2.1745 -0.0424 4.5706
3.0610 -3.7724 1.4213
3.3945 3.3746 1.6463
Tl V Sc
1 3 1
Cartesian
0.0000 0.0000 0.0000 Tl
1.5305 -1.8862 0.7106 V
1.6972 1.6873 0.8231 V
-1.0873 -0.0212 2.2853 V
2.1405 -0.2201 3.8191 Sc

Entry 11:
Sc2TlV, optimized geometry, DFT PBE; DFT formation energy = 608.0 meV/atom; offset from the most stable computed form = 641.2 meV per atom; crystal system = orthorhombic; space-group type = No. 71
1.0
-4.0196 5.1521 -0.2506
0.8827 -4.9425 4.1900
5.7212 -2.8001 1.4804
Tl Sc V
1 2 1
Cartesian
3.3019 -3.8713 2.8352 Tl
1.6033 -1.8798 1.3767 Sc
5.0005 -5.8628 4.2937 Sc
0.0000 0.0000 0.0000 V

Entry 12:
ScTlV3, optimized geometry, DFT PBE; DFT formation energy = 1536.5 meV/atom; offset from the most stable computed form = 0.0 meV per atom; crystal system = cubic; space-group type = No. 221
1.0
4.5666 0.0000 0.0000
0.0000 4.5666 0.0000
0.0000 0.0000 4.5666
V Tl Sc
3 1 1
Cartesian
2.2833 0.0000 0.0000 V
0.0000 0.0000 2.2833 V
0.0000 2.2833 0.0000 V
2.2833 2.2833 2.2833 Tl
0.0000 0.0000 0.0000 Sc